Density functional theory data (PBE-GGA) for a relaxed structure of La2Pr2Y4Er.

Structure (CIF):
```
data_La2Pr2Y4Er
_symmetry_space_group_name_H-M 'P 1'
_symmetry_Int_Tables_number 1
_symmetry_space_group_name_Hall 'P 1'
_cell_length_a 3.672
_cell_length_b 9.681
_cell_length_c 9.751
_cell_angle_alpha 115.21
_cell_angle_beta 90.00
_cell_angle_gamma 100.93
loop_
_atom_site_label
_atom_site_type_symbol
_atom_site_fract_x
_atom_site_fract_y
_atom_site_fract_z
La1 La 0.336 0.672 0.000
La2 La 0.664 0.328 0.000
Pr1 Pr 0.853 0.705 0.336
Pr2 Pr 0.147 0.295 0.664
Y1 Y 0.815 0.631 0.664
Y2 Y 0.185 0.369 0.336
Y3 Y 0.520 0.040 0.331
Y4 Y 0.480 0.960 0.669
Er1 Er 0.000 0.000 0.000
```

Computed properties:
Uncorrected energy (eV per atom): -5.5316
Calculated formation energy (eV/f.u.): 0.049

Density functional theory data (PBE-GGA) for a relaxed structure of Ho3TlGa.

Structure (CIF):
```
data_Ho3TlGa
_symmetry_space_group_name_H-M 'P 1'
_symmetry_Int_Tables_number 1
_symmetry_space_group_name_Hall 'P 1'
_cell_length_a 6.597
_cell_length_b 11.155
_cell_length_c 9.108
_cell_angle_alpha 127.78
_cell_angle_beta 90.00
_cell_angle_gamma 90.00
loop_
_atom_site_label
_atom_site_type_symbol
_atom_site_fract_x
_atom_site_fract_y
_atom_site_fract_z
Ho1 Ho 0.992 0.800 0.599
Ho2 Ho 0.008 0.200 0.401
Ho3 Ho 0.492 0.700 0.901
Ho4 Ho 0.508 0.300 0.099
Ho5 Ho 0.508 0.800 0.598
Ho6 Ho 0.492 0.200 0.402
Ho7 Ho 0.008 0.700 0.902
Ho8 Ho 0.992 0.300 0.098
Ho9 Ho 0.250 0.610 0.170
Ho10 Ho 0.750 0.390 0.830
Ho11 Ho 0.750 0.890 0.330
Ho12 Ho 0.250 0.110 0.670
Tl1 Tl 0.250 0.506 0.482
Tl2 Tl 0.750 0.494 0.518
Tl3 Tl 0.750 0.994 0.018
Tl4 Tl 0.250 0.006 0.982
Ga1 Ga 0.750 0.089 0.733
Ga2 Ga 0.250 0.911 0.267
Ga3 Ga 0.250 0.411 0.767
Ga4 Ga 0.750 0.589 0.233
```

Computed properties:
Uncorrected energy (eV per atom): -4.1930
Calculated formation energy (eV/f.u.): -1.839